Entry from Alexandria via LeMat-Bulk: a relaxed structure of Pm2Ni4AgGe3 (PBE).

The structure in CIF format:
```
data_Pm2Ni4AgGe3
_symmetry_space_group_name_H-M 'P 1'
_symmetry_Int_Tables_number 1
_cell_length_a 4.171
_cell_length_b 4.171
_cell_length_c 9.861
_cell_angle_alpha 90.00
_cell_angle_beta 90.00
_cell_angle_gamma 90.00
loop_
_symmetry_equiv_pos_as_xyz
'x,y,z'
loop_
_atom_site_label
_atom_site_fract_x
_atom_site_fract_y
_atom_site_fract_z
Pm1 0.500 0.000 0.246
Pm2 0.000 0.500 0.754
Ni1 0.500 0.500 0.000
Ni2 0.000 0.000 0.000
Ni3 0.500 0.000 0.642
Ni4 0.000 0.500 0.358
Ag1 0.500 0.500 0.500
Ge1 0.000 0.000 0.500
Ge2 0.500 0.000 0.878
Ge3 0.000 0.500 0.122
```

## Properties
* space-group type: P-4m2
* calculated formation energy: -0.544 eV per atom

---

Entry from Alexandria via LeMat-Bulk: a relaxed structure of ZnInTc2 (PBE).

The structure in CIF format:
```
data_ZnInTc2
_symmetry_space_group_name_H-M 'P 1'
_symmetry_Int_Tables_number 1
_cell_length_a 4.486
_cell_length_b 2.780
_cell_length_c 5.267
_cell_angle_alpha 80.90
_cell_angle_beta 90.00
_cell_angle_gamma 90.00
loop_
_symmetry_equiv_pos_as_xyz
'x,y,z'
loop_
_atom_site_label
_atom_site_fract_x
_atom_site_fract_y
_atom_site_fract_z
In1 0.500 0.750 0.750
Tc1 0.000 0.979 0.023
Tc2 0.000 0.521 0.477
Zn1 0.500 0.250 0.250
```

## Properties
* space-group type: P2/m
* calculated formation energy: 0.336 eV per atom

---

Entry from Alexandria via LeMat-Bulk: a relaxed structure of Th2Be3SnIr4 (PBE).

The structure in CIF format:
```
data_Th2Be3SnIr4
_symmetry_space_group_name_H-M 'P 1'
_symmetry_Int_Tables_number 1
_cell_length_a 4.113
_cell_length_b 4.113
_cell_length_c 10.236
_cell_angle_alpha 90.00
_cell_angle_beta 90.00
_cell_angle_gamma 90.00
loop_
_symmetry_equiv_pos_as_xyz
'x,y,z'
loop_
_atom_site_label
_atom_site_fract_x
_atom_site_fract_y
_atom_site_fract_z
Th1 0.500 0.000 0.224
Th2 0.000 0.500 0.776
Be1 0.000 0.000 0.500
Be2 0.500 0.000 0.893
Be3 0.000 0.500 0.107
Sn1 0.500 0.500 0.500
Ir1 0.500 0.500 0.000
Ir2 0.000 0.000 0.000
Ir3 0.500 0.000 0.661
Ir4 0.000 0.500 0.339
```

## Properties
* space-group type: P-4m2
* calculated formation energy: -0.657 eV per atom

---

Entry from Alexandria via LeMat-Bulk: a relaxed structure of CePaCr4 (PBE).

The structure in CIF format:
```
data_CePaCr4
_symmetry_space_group_name_H-M 'P 1'
_symmetry_Int_Tables_number 1
_cell_length_a 5.137
_cell_length_b 5.137
_cell_length_c 5.137
_cell_angle_alpha 60.00
_cell_angle_beta 60.00
_cell_angle_gamma 60.00
loop_
_symmetry_equiv_pos_as_xyz
'x,y,z'
loop_
_atom_site_label
_atom_site_fract_x
_atom_site_fract_y
_atom_site_fract_z
Cr1 0.625 0.625 0.125
Cr2 0.625 0.125 0.625
Cr3 0.625 0.625 0.625
Cr4 0.125 0.625 0.625
Pa1 0.250 0.250 0.250
Ce1 0.000 0.000 0.000
```

## Properties
* space-group type: F-43m
* calculated formation energy: 0.227 eV per atom

---

Entry from Alexandria via LeMat-Bulk: a relaxed structure of TbEr2Ge3Pt4 (PBE).

The structure in CIF format:
```
data_TbEr2Ge3Pt4
_symmetry_space_group_name_H-M 'P 1'
_symmetry_Int_Tables_number 1
_cell_length_a 4.170
_cell_length_b 4.170
_cell_length_c 11.506
_cell_angle_alpha 90.00
_cell_angle_beta 90.00
_cell_angle_gamma 90.00
loop_
_symmetry_equiv_pos_as_xyz
'x,y,z'
loop_
_atom_site_label
_atom_site_fract_x
_atom_site_fract_y
_atom_site_fract_z
Tb1 0.500 0.500 0.500
Er1 0.500 0.000 0.221
Er2 0.000 0.500 0.779
Ge1 0.000 0.000 0.500
Ge2 0.500 0.000 0.873
Ge3 0.000 0.500 0.127
Pt1 0.500 0.500 0.000
Pt2 0.000 0.000 0.000
Pt3 0.500 0.000 0.662
Pt4 0.000 0.500 0.338
```

## Properties
* space-group type: P-4m2
* calculated formation energy: -0.916 eV per atom

---

Entry from Alexandria via LeMat-Bulk: a relaxed structure of KCuPbCl6 (PBE).

The structure in CIF format:
```
data_KCuPbCl6
_symmetry_space_group_name_H-M 'P 1'
_symmetry_Int_Tables_number 1
_cell_length_a 6.682
_cell_length_b 7.353
_cell_length_c 6.887
_cell_angle_alpha 97.19
_cell_angle_beta 93.89
_cell_angle_gamma 56.50
loop_
_symmetry_equiv_pos_as_xyz
'x,y,z'
loop_
_atom_site_label
_atom_site_fract_x
_atom_site_fract_y
_atom_site_fract_z
K1 0.047 0.976 0.999
Cu1 0.665 0.667 0.500
Pb1 0.363 0.319 0.500
Cl1 0.952 0.407 0.280
Cl2 0.376 0.986 0.677
Cl3 0.634 0.370 0.767
Cl4 0.951 0.641 0.720
Cl5 0.377 0.638 0.323
Cl6 0.636 0.996 0.233
```

## Properties
* space-group type: P1
* formation energy without anion corrections: -941 meV per atom

---

Entry from Alexandria via LeMat-Bulk: a relaxed structure of Sc3CrMo (PBE).

The structure in CIF format:
```
data_Sc3CrMo
_symmetry_space_group_name_H-M 'P 1'
_symmetry_Int_Tables_number 1
_cell_length_a 4.997
_cell_length_b 4.997
_cell_length_c 4.997
_cell_angle_alpha 90.00
_cell_angle_beta 90.00
_cell_angle_gamma 90.00
loop_
_symmetry_equiv_pos_as_xyz
'x,y,z'
loop_
_atom_site_label
_atom_site_fract_x
_atom_site_fract_y
_atom_site_fract_z
Sc1 0.000 0.500 0.000
Sc2 0.000 0.000 0.500
Sc3 0.500 0.000 0.000
Cr1 0.500 0.500 0.500
Mo1 0.000 0.000 0.000
```

## Properties
* space-group type: Pm-3m
* calculated formation energy: 0.740 eV per atom

---

Entry from Alexandria via LeMat-Bulk: a relaxed structure of Na2PuUO8 (PBE).

The structure in CIF format:
```
data_Na2PuUO8
_symmetry_space_group_name_H-M 'P 1'
_symmetry_Int_Tables_number 1
_cell_length_a 5.086
_cell_length_b 5.102
_cell_length_c 6.995
_cell_angle_alpha 90.00
_cell_angle_beta 90.00
_cell_angle_gamma 92.79
loop_
_symmetry_equiv_pos_as_xyz
'x,y,z'
loop_
_atom_site_label
_atom_site_fract_x
_atom_site_fract_y
_atom_site_fract_z
Na1 0.500 0.500 0.749
Na2 0.500 0.500 0.251
Pu1 0.000 0.000 0.000
U1 0.000 0.000 0.500
O1 0.169 0.830 0.234
O2 0.736 0.738 0.000
O3 0.831 0.170 0.234
O4 0.831 0.170 0.766
O5 0.264 0.262 0.000
O6 0.169 0.830 0.766
O7 0.732 0.734 0.500
O8 0.268 0.266 0.500
```

## Properties
* space-group type: P2/m
* formation energy without anion corrections: -2346 meV per atom

---

Entry from Alexandria via LeMat-Bulk: a relaxed structure of Ca3PdW (PBE).

The structure in CIF format:
```
data_Ca3PdW
_symmetry_space_group_name_H-M 'P 1'
_symmetry_Int_Tables_number 1
_cell_length_a 5.443
_cell_length_b 5.443
_cell_length_c 5.443
_cell_angle_alpha 90.00
_cell_angle_beta 90.00
_cell_angle_gamma 90.00
loop_
_symmetry_equiv_pos_as_xyz
'x,y,z'
loop_
_atom_site_label
_atom_site_fract_x
_atom_site_fract_y
_atom_site_fract_z
Ca1 0.000 0.500 0.000
Ca2 0.000 0.000 0.500
Ca3 0.500 0.000 0.000
Pd1 0.000 0.000 0.000
W1 0.500 0.500 0.500
```

## Properties
* space-group type: Pm-3m
* calculated formation energy: 0.746 eV per atom

---

Entry from Alexandria via LeMat-Bulk: a relaxed structure of ReP2RuCl (PBE).

The structure in CIF format:
```
data_ReP2RuCl
_symmetry_space_group_name_H-M 'P 1'
_symmetry_Int_Tables_number 1
_cell_length_a 4.557
_cell_length_b 4.557
_cell_length_c 4.982
_cell_angle_alpha 90.00
_cell_angle_beta 90.00
_cell_angle_gamma 90.00
loop_
_symmetry_equiv_pos_as_xyz
'x,y,z'
loop_
_atom_site_label
_atom_site_fract_x
_atom_site_fract_y
_atom_site_fract_z
Re1 0.000 0.000 0.000
Cl1 0.000 0.000 0.500
P1 0.000 0.500 0.000
P2 0.500 0.000 0.000
Ru1 0.500 0.500 0.500
```

## Properties
* space-group type: P4/mmm
* formation energy without anion corrections: 1114 meV per atom

---

| no. | energy (eV per atom) |
| --- | --- |
| 1 | -5.477 |
| 2 | -5.850 |
| 3 | -7.203 |
| 4 | -8.761 |
| 5 | -6.093 |
| 6 | -3.162 |
| 7 | -7.149 |
| 8 | -8.006 |
| 9 | -4.084 |
| 10 | -5.764 |